[1]
Below is crystalline Ac2PuGe3Pt12 at its relaxed geometry, with properties calculated at the PBE-GGA level.

a = 8.4087 Å, b = 8.4087 Å, c = 19.4267 Å
α = 90.00°, β = 90.00°, γ = 120.00°
Space group R-3m (No. 166, hexagonal axes)
Symmetry-distinct sites (fractional):
Ac1 0.0000 0.0000 0.1043
Pu1 0.0000 0.0000 0.5000
Ge1 0.0000 0.5000 0.0000
Pt1 0.0206 0.5103 0.8725
Pt2 0.0342 0.5171 0.3713


[2]
Below is crystalline Ag2Br at its relaxed geometry, with properties calculated at the PBE-GGA level.

Properties
- ΔE_f (raw) (eV/atom) = -0.16
- ΔE to the lowest computed polymorph (eV/f.u.) = 0.00

a = 4.142 Å, b = 4.221 Å, c = 9.038 Å
α = 94.30°, β = 103.13°, γ = 90.00°
Space group P-1 (No. 2)
Symmetry-distinct sites (fractional):
Ag1 0.058 0.250 0.118
Ag2 0.442 0.230 0.882
Br1 0.165 0.739 0.334


[3]
Below is crystalline Cu2SbAu at its relaxed geometry, with properties calculated at the PBE-GGA level.

Properties
- ΔE_f (raw) (eV/atom) = 0.08

a = 9.010 Å, b = 3.864 Å, c = 4.095 Å
α = 90.00°, β = 103.76°, γ = 90.00°
Space group Cm (No. 8)
Symmetry-distinct sites (fractional):
Cu1 0.000 0.000 0.000
Cu2 0.192 0.000 0.619
Sb1 0.231 0.500 0.153
Au1 0.471 0.000 0.519


[4]
Below is crystalline SrZrO2 at its relaxed geometry, with properties calculated at the PBE-GGA level.

Properties
- ΔE_f (raw) (eV/atom) = -2.30
- ΔE to the lowest computed polymorph (eV/f.u.) = 0.37

a = 5.376 Å, b = 5.376 Å, c = 10.696 Å
α = 90.00°, β = 90.00°, γ = 90.00°
Space group I-42d (No. 122)
Symmetry-distinct sites (fractional):
Sr1 0.000 0.000 0.000
Zr1 0.000 0.000 0.500
O1 0.175 0.250 0.625


[5]
Below is crystalline Cu2Bi8Pb6S19 at its relaxed geometry, with properties calculated at the PBE-GGA level.

Properties
- ΔE_f (raw) (eV/atom) = -0.40

a = 4.071 Å, b = 14.226 Å, c = 16.043 Å
α = 90.20°, β = 97.27°, γ = 98.22°
Space group P-1 (No. 2)
Symmetry-distinct sites (fractional):
Cu1 0.039 0.487 0.087
Bi1 0.202 0.369 0.535
Bi2 0.280 0.956 0.105
Bi3 0.394 0.252 0.037
Bi4 0.410 0.610 0.710
Pb1 0.013 0.869 0.656
Pb2 0.189 0.651 0.228
Pb3 0.399 0.886 0.412
S1 0.000 0.000 0.500
S2 0.004 0.285 0.222
S3 0.073 0.634 0.011
S4 0.171 0.908 0.934
S5 0.197 0.519 0.375
S6 0.207 0.252 0.662
S7 0.282 0.184 0.881
S8 0.390 0.731 0.549
S9 0.397 0.017 0.276
S10 0.415 0.492 0.840


[6]
Below is crystalline Dy6PS5 at its relaxed geometry, with properties calculated at the PBE-GGA level.

Properties
- ΔE_f (raw) (eV/atom) = -1.96

a = 6.789 Å, b = 11.773 Å, c = 6.803 Å
α = 90.00°, β = 109.40°, γ = 90.00°
Space group C2/m (No. 12)
Symmetry-distinct sites (fractional):
Dy1 0.246 0.000 0.254
Dy2 0.246 0.164 0.746
P1 0.000 0.000 0.500
S1 0.000 0.168 0.000
S2 0.000 0.333 0.500
S3 0.000 0.500 0.000


[7]
Below is crystalline La2ErPu at its relaxed geometry, with properties calculated at the PBE-GGA level.

Properties
- ΔE to the lowest computed polymorph (eV/f.u.) = 0.06

a = 3.6121 Å, b = 3.6121 Å, c = 34.8761 Å
α = 90.00°, β = 90.00°, γ = 120.00°
Space group R3m (No. 160, hexagonal axes)
Symmetry-distinct sites (fractional):
La1 0.0000 0.0000 0.0000
La2 0.0000 0.0000 0.1689
Er1 0.0000 0.0000 0.7515
Pu1 0.0000 0.0000 0.5836


[8]
Below is crystalline Co2Ni3Pd at its relaxed geometry, with properties calculated at the PBE-GGA level.

Properties
- ΔE to the lowest computed polymorph (eV/f.u.) = 0.00

a = 5.1036 Å, b = 5.1036 Å, c = 18.7953 Å
α = 90.00°, β = 90.00°, γ = 120.00°
Space group R-3m (No. 166, hexagonal axes)
Symmetry-distinct sites (fractional):
Co1 0.0000 0.0000 0.0000
Co2 0.0000 0.5000 0.0000
Ni1 0.0055 0.5028 0.2259
Pd1 0.0000 0.0000 0.2205


[9]
Below is crystalline CrAgP2Cl at its relaxed geometry, with properties calculated at the PBE-GGA level.

Properties
- ΔE_f (raw) (eV/atom) = 0.30
- ΔE to the lowest computed polymorph (eV/f.u.) = 0.00

a = 4.365 Å, b = 4.365 Å, c = 5.215 Å
α = 90.00°, β = 90.00°, γ = 90.00°
Space group P4/mmm (No. 123)
Symmetry-distinct sites (fractional):
Cr1 0.000 0.000 0.000
Ag1 0.500 0.500 0.500
P1 0.000 0.500 0.000
Cl1 0.000 0.000 0.500


[10]
Below is crystalline SrSi2Pd6 at its relaxed geometry, with properties calculated at the PBE-GGA level.

Properties
- ΔE_f (raw) (eV/atom) = -0.40

a = 11.397 Å, b = 11.397 Å, c = 11.397 Å
α = 90.00°, β = 90.00°, γ = 90.00°
Space group Fd-3m (No. 227, origin choice 2)
Symmetry-distinct sites (fractional):
Sr1 0.125 0.125 0.125
Si1 0.000 0.000 0.500
Pd1 0.102 0.375 0.875


[11]
Below is crystalline AlHRh2 at its relaxed geometry, with properties calculated at the PBE-GGA level.

Properties
- ΔE to the lowest computed polymorph (eV/f.u.) = 0.65

a = 2.831 Å, b = 2.831 Å, c = 5.726 Å
α = 90.00°, β = 90.00°, γ = 90.00°
Space group P4/mmm (No. 123)
Symmetry-distinct sites (fractional):
Al1 0.000 0.000 0.000
H1 0.000 0.000 0.500
Rh1 0.500 0.500 0.275


[12]
Below is crystalline NiC at its relaxed geometry, with properties calculated at the PBE-GGA level.

a = 4.9230 Å, b = 4.9230 Å, c = 2.6727 Å
α = 90.00°, β = 90.00°, γ = 120.00°
Space group P6/mmm (No. 191)
Symmetry-distinct sites (fractional):
Ni1 0.0000 0.5000 0.0000
C1 0.0000 0.0000 0.0000
C2 0.3333 0.6667 0.5000


[13]
Below is crystalline NaNd2PaTe4 at its relaxed geometry, with properties calculated at the PBE-GGA level.

Properties
- ΔE_f (raw) (eV/atom) = -1.15

a = 7.686 Å, b = 4.399 Å, c = 7.840 Å
α = 90.00°, β = 108.65°, γ = 90.00°
Space group P2/m (No. 10)
Symmetry-distinct sites (fractional):
Na1 0.000 0.000 0.000
Nd1 0.500 0.000 0.500
Nd2 0.500 0.500 0.000
Pa1 0.000 0.500 0.500
Te1 0.241 0.000 0.748
Te2 0.243 0.500 0.249


[14]
Below is crystalline Sm3TmPb3 at its relaxed geometry, with properties calculated at the PBE-GGA level.

a = 9.6096 Å, b = 9.6096 Å, c = 6.3147 Å
α = 90.00°, β = 90.00°, γ = 120.00°
Space group P6_3/m (No. 176)
Symmetry-distinct sites (fractional):
Sm1 0.0315 0.6905 0.2500
Tm1 0.3333 0.6667 0.7500
Pb1 0.0148 0.6696 0.7500


[15]
Below is crystalline NaPrCuAu at its relaxed geometry, with properties calculated at the PBE-GGA level.

a = 7.162 Å, b = 7.162 Å, c = 7.162 Å
α = 90.00°, β = 90.00°, γ = 90.00°
Space group F-43m (No. 216)
Symmetry-distinct sites (fractional):
Na1 0.000 0.000 0.000
Pr1 0.000 0.000 0.500
Cu1 0.250 0.250 0.750
Au1 0.250 0.250 0.250


[16]
Below is crystalline LiZrRu at its relaxed geometry, with properties calculated at the PBE-GGA level.

Properties
- ΔE to the lowest computed polymorph (eV/f.u.) = 0.47

a = 4.2788 Å, b = 4.2788 Å, c = 3.0885 Å
α = 90.00°, β = 90.00°, γ = 120.00°
Space group P3m1 (No. 156)
Symmetry-distinct sites (fractional):
Li1 0.0000 0.0000 0.0000
Zr1 0.6667 0.3333 0.5842
Ru1 0.3333 0.6667 0.2026


[17]
Below is crystalline YHfAu at its relaxed geometry, with properties calculated at the PBE-GGA level.

Properties
- ΔE to the lowest computed polymorph (eV/f.u.) = 0.04

a = 3.442 Å, b = 3.442 Å, c = 11.713 Å
α = 90.00°, β = 90.00°, γ = 90.00°
Space group P4mm (No. 99)
Symmetry-distinct sites (fractional):
Y1 0.000 0.000 0.000
Y2 0.000 0.000 0.325
Hf1 0.000 0.000 0.690
Hf2 0.500 0.500 0.527
Au1 0.500 0.500 0.164
Au2 0.500 0.500 0.826


[18]
Below is crystalline LaTi2Ge2 at its relaxed geometry, with properties calculated at the PBE-GGA level.

Properties
- ΔE to the lowest computed polymorph (eV/f.u.) = 0.00

a = 8.069 Å, b = 8.069 Å, c = 2.996 Å
α = 90.00°, β = 90.00°, γ = 90.00°
Space group P4/mbm (No. 127)
Symmetry-distinct sites (fractional):
La1 0.000 0.000 0.000
Ti1 0.139 0.361 0.500
Ge1 0.148 0.648 0.000


[19]
Below is crystalline AcLaZnBr at its relaxed geometry, with properties calculated at the PBE-GGA level.

Properties
- ΔE_f (raw) (eV/atom) = -0.56

a = 7.801 Å, b = 7.801 Å, c = 7.801 Å
α = 90.00°, β = 90.00°, γ = 90.00°
Space group F-43m (No. 216)
Symmetry-distinct sites (fractional):
Ac1 0.000 0.000 0.000
La1 0.000 0.000 0.500
Zn1 0.250 0.250 0.750
Br1 0.250 0.250 0.250


[20]
Below is crystalline Ho3Tm4In at its relaxed geometry, with properties calculated at the PBE-GGA level.

a = 6.972 Å, b = 6.973 Å, c = 11.632 Å
α = 81.34°, β = 72.57°, γ = 60.03°
Space group P1 (No. 1)
Symmetry-distinct sites (fractional):
Ho1 0.000 0.000 0.000
Ho2 0.034 0.169 0.259
Ho3 0.248 0.491 0.510
Ho4 0.490 0.503 0.010
Ho5 0.536 0.667 0.262
Ho6 0.784 0.178 0.752
Tm1 0.029 0.667 0.264
Tm2 0.246 0.006 0.510
Tm3 0.296 0.662 0.753
Tm4 0.495 0.000 0.999
Tm5 0.538 0.164 0.253
Tm6 0.735 0.007 0.509
Tm7 0.785 0.662 0.753
Tm8 0.996 0.499 0.003
In1 0.289 0.166 0.752
In2 0.742 0.503 0.510


Ordered calculated total energy results: -6.41; -2.62; -3.81; -7.34; -4.40; -6.44; -7.06; -6.09; -4.72; -5.25; -5.67; -6.30; -5.26; -4.50; -3.62; -6.65; -7.03; -6.43; -3.56; -4.41; unit eV per atom.